# TmCuPt, relaxed, DFT GGA-PBE
# Total magnetic moment   0.000 μB/atom
# Excess energy over the best structure of this formula in the dataset   0.00 eV per formula unit
# Mass density   11.1 g cm⁻³
# Crystal system   cubic
# ΔE_f   -644 meV/atom
data_TmCuPt
_chemical_formula_sum 'Tm4 Cu4 Pt4'
_cell_length_a 6.342
_cell_length_b 6.342
_cell_length_c 6.342
_cell_angle_alpha 90.00
_cell_angle_beta 90.00
_cell_angle_gamma 90.00
_space_group_name_H-M_alt 'F -4 3 m'
_space_group_IT_number 216
_space_group_name_Hall 'F -4 2 3'
loop_
_atom_site_label
_atom_site_type_symbol
_atom_site_fract_x
_atom_site_fract_y
_atom_site_fract_z
Tm1 Tm 0.000 0.000 0.000
Cu1 Cu 0.000 0.000 0.500
Pt1 Pt 0.250 0.250 0.750